Entry 1:
TaTiBe | GGA-PBE | relaxed

Cell lengths 4.286, 4.286, 2.865 Å; angles 90.00, 90.00, 120.00 degrees
Fractional coordinates of all 3 atoms:
Ta 0.000 0.000 0.000
Ti 0.667 0.333 0.557
Be 0.333 0.667 0.277

Properties
Formation energy ... 256 meV per atom

Entry 2:
PuBi2Au | GGA-PBE | relaxed

Cell lengths 5.557, 5.557, 12.224 Å; angles 90.00, 90.00, 120.00 degrees
Fractional coordinates of all 12 atoms:
Pu 0.000 0.000 0.000
Pu 0.333 0.667 0.667
Pu 0.667 0.333 0.333
Bi 0.000 0.000 0.261
Bi 0.000 0.000 0.739
Bi 0.333 0.667 0.405
Bi 0.333 0.667 0.928
Bi 0.667 0.333 0.072
Bi 0.667 0.333 0.595
Au 0.000 0.000 0.500
Au 0.333 0.667 0.167
Au 0.667 0.333 0.833

Properties
Formation energy ... -50 meV per atom

Entry 3:
BaOs2I | GGA-PBE | relaxed

Cell lengths 7.896, 7.896, 6.607 Å; angles 90.00, 90.00, 90.00 degrees
Fractional coordinates of all 16 atoms:
Ba 0.000 0.000 0.000
Ba 0.000 0.500 0.250
Ba 0.500 0.000 0.750
Ba 0.500 0.500 0.500
Os 0.170 0.250 0.625
Os 0.250 0.670 0.875
Os 0.250 0.830 0.375
Os 0.330 0.250 0.125
Os 0.670 0.750 0.125
Os 0.750 0.170 0.375
Os 0.750 0.330 0.875
Os 0.830 0.750 0.625
I 0.000 0.000 0.500
I 0.000 0.500 0.750
I 0.500 0.000 0.250
I 0.500 0.500 0.000

Properties
ΔE_f (raw) ... 1.56 eV/atom